Compound: TbErFe2Ge2C
Source: OQMD
Functional: PBE
Structure: optimized geometry

The theoretical density is 8.80 g/cm³. The total energy is -6.9360 eV per atom.

a b c (Å): 10.6764 3.9608 6.8034
angles (deg): 90.00 128.70 90.00
With the nearest neighbours (Å) after each atom.
Space group Cm (No. 8)
Unique sites:
Tb1 0.0000 0.0000 0.0000  2 C 2.59
Er1 0.1152 0.0000 0.5777  2 C 2.56
Fe1 0.2546 0.5000 0.3804  1 C 1.77
Fe2 0.3630 0.0000 0.2016  1 C 1.77
Ge1 0.2208 0.5000 0.9989  3 Fe 2.35-2.39
Ge2 0.3954 0.0000 0.5805  3 Fe 2.34-2.38
C1 0.0594 0.5000 0.2934  2 Fe 1.77